# GGA+U NpZnCr2O6, optimized geometry
data_NpZnCr2O6
_chemical_formula_sum 'Np3 Zn3 Cr6 O18'
_cell_length_a 5.3442
_cell_length_b 5.3442
_cell_length_c 14.1093
_cell_angle_alpha 90.00
_cell_angle_beta 90.00
_cell_angle_gamma 120.00
_symmetry_space_group_name_H-M 'R 3'
_symmetry_Int_Tables_number 146
_symmetry_space_group_name_Hall 'R 3'
loop_
_atom_site_label
_atom_site_type_symbol
_atom_site_fract_x
_atom_site_fract_y
_atom_site_fract_z
Np1 Np 0.0000 0.0000 0.0000
Zn1 Zn 0.0000 0.0000 0.5024
Cr1 Cr 0.0000 0.0000 0.2911
Cr2 Cr 0.0000 0.0000 0.7894
O1 O 0.0204 0.3783 0.5534
O2 O 0.0198 0.6252 0.0532
# final energy = -238.38 eV per cell
# DOS at the Fermi energy = 1.26 states/eV/atom